# GGA-PBE NdCSe, optimized geometry
data_NdCSe
_chemical_formula_sum 'Nd4 C4 Se4'
_symmetry_space_group_name_H-M 'P 1'
_symmetry_Int_Tables_number 1
_cell_length_a 7.3882
_cell_length_b 6.7658
_cell_length_c 7.1299
_cell_angle_alpha 90.00
_cell_angle_beta 90.00
_cell_angle_gamma 123.09
loop_
_symmetry_equiv_pos_as_xyz
'x,y,z'
loop_
_atom_site_label
_atom_site_fract_x
_atom_site_fract_y
_atom_site_fract_z
C1 0.5294 0.0588 0.4252
Nd1 0.3917 0.2834 0.2500
Se1 0.1714 0.3427 0.5694
C2 0.4706 0.9412 0.5748
C3 0.0294 0.0588 0.0748
Nd2 0.6083 0.7166 0.7500
Se2 0.8286 0.6573 0.4306
Se3 0.6714 0.3427 0.9306
Nd3 0.8917 0.2834 0.2500
C4 0.9706 0.9412 0.9252
Se4 0.3286 0.6573 0.0694
Nd4 0.1083 0.7166 0.7500
# energy relative to the elements, uncorrected	-0.751	eV per atom
# M_tot	0.00	μB/f.u.
# space-group type	Cmce (64)

# GGA-PBE Nd2CSe, optimized geometry
data_Nd2CSe
_chemical_formula_sum 'Nd2 C1 Se1'
_symmetry_space_group_name_H-M 'P 1'
_symmetry_Int_Tables_number 1
_cell_length_a 3.8923
_cell_length_b 3.8923
_cell_length_c 7.3770
_cell_angle_alpha 74.70
_cell_angle_beta 74.70
_cell_angle_gamma 60.00
loop_
_symmetry_equiv_pos_as_xyz
'x,y,z'
loop_
_atom_site_label
_atom_site_fract_x
_atom_site_fract_y
_atom_site_fract_z
C1 0.6675 0.6675 0.9976
Nd1 0.0678 0.0678 0.7967
Nd2 0.2655 0.2655 0.2034
Se1 0.4992 0.4992 0.5023
# energy relative to the elements, uncorrected	-0.952	eV per atom
# M_tot	0.00	μB/f.u.
# density of states at the Fermi level	0.13	states/eV/f.u.
# space-group type	R3m (160)

# GGA-PBE Nd2C2Se, optimized geometry
data_Nd2C2Se
_chemical_formula_sum 'Nd4 C4 Se2'
_symmetry_space_group_name_H-M 'P 1'
_symmetry_Int_Tables_number 1
_cell_length_a 4.1922
_cell_length_b 7.1268
_cell_length_c 7.3694
_cell_angle_alpha 102.07
_cell_angle_beta 106.53
_cell_angle_gamma 90.00
loop_
_symmetry_equiv_pos_as_xyz
'x,y,z'
loop_
_atom_site_label
_atom_site_fract_x
_atom_site_fract_y
_atom_site_fract_z
C1 0.6403 0.9676 0.5454
Se1 0.7939 0.7500 0.0000
Nd1 0.5511 0.3586 0.7172
Nd2 0.4489 0.6414 0.2828
C2 0.9051 0.4676 0.5454
Se2 0.2061 0.2500 0.0000
Nd3 0.1661 0.8586 0.7172
Nd4 0.8339 0.1414 0.2828
C3 0.0949 0.5324 0.4546
C4 0.3597 0.0324 0.4546
# energy relative to the elements, uncorrected	-0.859	eV per atom
# M_tot	0.00	μB/f.u.
# density of states at the Fermi level	1.51	states/eV/f.u.
# space-group type	C2/c (15)

# GGA-PBE Nd6CSe5, optimized geometry
data_Nd6CSe5
_chemical_formula_sum 'Nd6 C1 Se5'
_symmetry_space_group_name_H-M 'P 1'
_symmetry_Int_Tables_number 1
_cell_length_a 7.2242
_cell_length_b 8.3646
_cell_length_c 7.2246
_cell_angle_alpha 106.88
_cell_angle_beta 99.55
_cell_angle_gamma 125.24
loop_
_symmetry_equiv_pos_as_xyz
'x,y,z'
loop_
_atom_site_label
_atom_site_fract_x
_atom_site_fract_y
_atom_site_fract_z
Nd1 0.8510 0.6256 0.7003
Nd2 0.1507 0.9253 0.2997
C1 0.0000 0.0000 0.0000
Se1 0.3264 0.8264 0.6528
Nd3 0.8493 0.0747 0.7003
Se2 0.6736 0.1736 0.3472
Nd4 0.4522 0.2232 0.0000
Se3 0.6659 0.6659 0.3317
Nd5 0.1490 0.3744 0.2997
Se4 0.3341 0.3341 0.6683
Nd6 0.5478 0.7768 0.0000
Se5 0.0000 0.5000 0.0000
# energy relative to the elements, uncorrected	-1.599	eV per atom
# M_tot	0.00	μB/f.u.
# density of states at the Fermi level	5.63	states/eV/f.u.
# space-group type	C2/m (12)